The following is a GGA-PBE calculation of a geometry-optimized Cd2InW structure, from the Alexandria database.

It has space group Imm2 (No. 44), with a = 3.049 Å, b = 5.166 Å, c = 10.296 Å, α = 90.00°, β = 90.00° and γ = 90.00°. The inequivalent atoms are Cd at (0.000, 0.000, 0.000), Cd at (0.000, 0.500, 0.240), In at (0.000, 0.500, 0.766) and W at (0.000, 0.000, 0.502).

Its formation energy is 0.6092 eV/atom. For the electronic total energy, the calculation gives -3.77 eV/atom.